[1]
Compound: BaTaCrIr2
Source: the Alexandria database
Functional: PBEsol
Structure: optimized geometry

abc: 4.706 4.706 4.557
angles: 90.00 90.00 90.00
Fractional coordinates of all 5 atoms:
1 Ba 0.000 0.000 0.000
2 Ta 0.500 0.500 0.000
3 Cr 0.500 0.500 0.500
4 Ir 0.000 0.500 0.500
5 Ir 0.500 0.000 0.500

=====

[2]
Compound: ScSiI2
Source: the Alexandria database
Functional: PBEsol
Structure: optimized geometry

abc: 6.584 6.584 6.584
angles: 106.03 106.03 116.60
Fractional coordinates of all 8 atoms:
1 Sc 0.000 0.000 0.000
2 Sc 0.750 0.250 0.500
3 Si 0.250 0.750 0.500
4 Si 0.500 0.500 0.000
5 I 0.118 0.625 0.993
6 I 0.375 0.368 0.493
7 I 0.632 0.125 0.007
8 I 0.875 0.882 0.507

=====

[3]
Compound: Mn3Tc
Source: the Alexandria database
Functional: PBEsol
Structure: optimized geometry

abc: 4.592 4.592 4.592
angles: 140.72 129.84 65.50
Fractional coordinates of all 4 atoms:
1 Mn 0.000 0.000 0.000
2 Mn 0.248 0.748 0.500
3 Mn 0.752 0.252 0.500
4 Tc 0.500 0.500 0.000

=====

[4]
Compound: CrIr
Source: the Alexandria database
Functional: PBEsol
Structure: optimized geometry

abc: 2.657 2.657 4.165
angles: 90.00 90.00 120.00
Fractional coordinates of all 2 atoms:
1 Cr 0.000 0.000 0.000
2 Ir 0.333 0.667 0.500

=====

[5]
Compound: Ta5Mo2
Source: the Alexandria database
Functional: PBEsol
Structure: optimized geometry

Properties
Excess energy over the best structure of this formula in the dataset, eV per atom: 0.000

abc: 5.342 5.342 7.290
angles: 98.40 98.40 35.08
Fractional coordinates of all 7 atoms:
1 Ta 0.000 0.000 0.000
2 Ta 0.142 0.142 0.419
3 Ta 0.420 0.420 0.286
4 Ta 0.580 0.580 0.714
5 Ta 0.858 0.858 0.581
6 Mo 0.287 0.287 0.862
7 Mo 0.713 0.713 0.138

=====

[6]
Compound: MoSe
Source: the Alexandria database
Functional: PBEsol
Structure: optimized geometry

Properties
Excess energy over the best structure of this formula in the dataset, eV per atom: 0.000

abc: 4.268 4.268 4.268
angles: 41.90 41.90 41.90
Fractional coordinates of all 2 atoms:
1 Mo 0.000 0.000 0.000
2 Se 0.500 0.500 0.500

=====

no.,ρ (g/cm3),electronic total energy (eV/f.u.)
1,12.42,-40.5
2,5.00,-15.6
3,9.41,-39.9
4,15.92,-20.4
5,15.41,-86.9
6,9.26,-15.5